Compound: Tl3SeN
Source: Alexandria via LeMat-Bulk
Functional: GGA-PBE
Structure: optimized geometry

N(E_F)   1.5 states/eV/cell
Energy relative to the elements, uncorrected   406.5 meV per atom
Energy above the lowest structure with this stoichiometry   89 meV per atom
E_tot   -16.88 eV/cell

a b c (Å): 5.0198 5.0198 5.0198
angles (deg): 90.00 90.00 90.00
Atoms (fractional coordinates):
1 Tl 0.0000 0.0000 0.5000
2 Tl 0.0000 0.5000 0.0000
3 Tl 0.5000 0.0000 0.0000
4 Se 0.5000 0.5000 0.5000
5 N 0.0000 0.0000 0.0000